Entry 1:
# PBE-GGA K2RhAu, relaxed
# Formation energy ... 582 meV per atom
# Relative energy among the computed polymorphs ... 433 meV per atom
data_K2RhAu
_chemical_formula_sum 'K8 Rh4 Au4'
_space_group_name_H-M_alt 'F m -3 m'
_space_group_IT_number 225
_space_group_name_Hall '-F 4 2 3'
_cell_length_a 7.569
_cell_length_b 7.569
_cell_length_c 7.569
_cell_angle_alpha 90.00
_cell_angle_beta 90.00
_cell_angle_gamma 90.00
loop_
_atom_site_label
_atom_site_fract_x
_atom_site_fract_y
_atom_site_fract_z
K1 0.250 0.250 0.250
Rh1 0.000 0.000 0.000
Au1 0.000 0.000 0.500

Entry 2:
# PBE-GGA CaGdIn, relaxed
# Formation energy ... -182 meV per atom
# Relative energy among the computed polymorphs ... 104 meV per atom
data_CaGdIn
_chemical_formula_sum 'Ca4 Gd4 In4'
_space_group_name_H-M_alt 'F -4 3 m'
_space_group_IT_number 216
_space_group_name_Hall 'F -4 2 3'
_cell_length_a 7.509
_cell_length_b 7.509
_cell_length_c 7.509
_cell_angle_alpha 90.00
_cell_angle_beta 90.00
_cell_angle_gamma 90.00
loop_
_atom_site_label
_atom_site_fract_x
_atom_site_fract_y
_atom_site_fract_z
Ca1 0.000 0.000 0.000
Gd1 0.000 0.000 0.500
In1 0.250 0.250 0.250

Entry 3:
# PBE-GGA K4Ce3UTe8, relaxed
# Formation energy from raw total energies ... -1879.4 kJ/mol of formula units
data_K4Ce3UTe8
_chemical_formula_sum 'K12 Ce9 U3 Te24'
_space_group_name_H-M_alt 'R -3 m'
_space_group_IT_number 166
_space_group_name_Hall '-R 3 2"'
_cell_length_a 9.2457
_cell_length_b 9.2457
_cell_length_c 24.7577
_cell_angle_alpha 90.00
_cell_angle_beta 90.00
_cell_angle_gamma 120.00
loop_
_atom_site_label
_atom_site_fract_x
_atom_site_fract_y
_atom_site_fract_z
K1 0.0000 0.0000 0.0000
K2 0.0000 0.5000 0.0000
Ce1 0.0000 0.5000 0.5000
U1 0.0000 0.0000 0.5000
Te1 0.0000 0.0000 0.2384
Te2 0.0046 0.5023 0.2377

Entry 4:
# PBE-GGA CsHg3Sb, relaxed
# Relative energy among the computed polymorphs ... 103 meV per atom
# Formation energy from raw total energies ... -51.6 kJ/mol of formula units
data_CsHg3Sb
_chemical_formula_sum 'Cs1 Hg3 Sb1'
_space_group_name_H-M_alt 'P m -3 m'
_space_group_IT_number 221
_space_group_name_Hall '-P 4 2 3'
_cell_length_a 5.895
_cell_length_b 5.895
_cell_length_c 5.895
_cell_angle_alpha 90.00
_cell_angle_beta 90.00
_cell_angle_gamma 90.00
loop_
_atom_site_label
_atom_site_fract_x
_atom_site_fract_y
_atom_site_fract_z
Cs1 0.000 0.000 0.000
Hg1 0.000 0.500 0.500
Sb1 0.500 0.500 0.500

Entry 5:
# PBE-GGA PmHo2PaP4, relaxed
# Formation energy ... -1527 meV per atom
data_PmHo2PaP4
_chemical_formula_sum 'Pm1 Ho2 Pa1 P4'
_space_group_name_H-M_alt 'P 1 2/m 1'
_space_group_IT_number 10
_space_group_name_Hall '-P 2y'
_cell_length_a 6.920
_cell_length_b 4.018
_cell_length_c 6.961
_cell_angle_alpha 90.00
_cell_angle_beta 109.48
_cell_angle_gamma 90.00
loop_
_atom_site_label
_atom_site_fract_x
_atom_site_fract_y
_atom_site_fract_z
Pm1 0.000 0.000 0.000
Ho1 0.500 0.000 0.500
Ho2 0.500 0.500 0.000
Pa1 0.000 0.500 0.500
P1 0.250 0.000 0.744
P2 0.253 0.500 0.260

Entry 6:
# PBE-GGA Pr6Bi2Te3I, relaxed
# Formation energy from raw total energies ... -1382.7 kJ/mol of formula units
data_Pr6Bi2Te3I
_chemical_formula_sum 'Pr12 Bi4 Te6 I2'
_space_group_name_H-M_alt 'C 1 2/m 1'
_space_group_IT_number 12
_space_group_name_Hall '-C 2y'
_cell_length_a 20.042
_cell_length_b 4.594
_cell_length_c 9.156
_cell_angle_alpha 90.00
_cell_angle_beta 103.09
_cell_angle_gamma 90.00
loop_
_atom_site_label
_atom_site_fract_x
_atom_site_fract_y
_atom_site_fract_z
Pr1 0.002 0.000 0.276
Pr2 0.167 0.500 0.585
Pr3 0.179 0.500 0.089
Bi1 0.166 0.000 0.331
Te1 0.000 0.500 0.500
Te2 0.160 0.000 0.833
I1 0.000 0.500 0.000

Entry 7:
# PBE-GGA TlPH, relaxed
# Relative energy among the computed polymorphs ... 0 meV per atom
data_TlPH
_chemical_formula_sum 'Tl2 P2 H2'
_space_group_name_H-M_alt 'P 1'
_space_group_IT_number 1
_space_group_name_Hall 'P 1'
_cell_length_a 3.329
_cell_length_b 5.363
_cell_length_c 8.119
_cell_angle_alpha 100.47
_cell_angle_beta 95.65
_cell_angle_gamma 91.97
loop_
_atom_site_label
_atom_site_fract_x
_atom_site_fract_y
_atom_site_fract_z
Tl1 0.000 0.000 0.000
Tl2 0.251 0.060 0.571
P1 0.393 0.484 0.867
P2 0.858 0.576 0.704
H1 0.600 0.540 0.240
H2 0.656 0.521 0.330

Entry 8:
# PBE-GGA Tb6PrYEr2, relaxed
# Formation energy ... 121 meV per atom
data_Tb6PrYEr2
_chemical_formula_sum 'Tb24 Pr4 Y4 Er8'
_space_group_name_H-M_alt 'C 1 2/c 1'
_space_group_IT_number 15
_space_group_name_Hall '-C 2yc'
_cell_length_a 9.081
_cell_length_b 15.073
_cell_length_c 9.644
_cell_angle_alpha 90.00
_cell_angle_beta 97.88
_cell_angle_gamma 90.00
loop_
_atom_site_label
_atom_site_fract_x
_atom_site_fract_y
_atom_site_fract_z
Tb1 0.064 0.184 0.445
Tb2 0.103 0.395 0.622
Tb3 0.201 0.227 0.818
Pr1 0.000 0.406 0.250
Y1 0.000 0.024 0.750
Er1 0.245 0.053 0.044

Entry 9:
# PBE-GGA ScBe2AlS, relaxed
# Formation energy from raw total energies ... 440.9 kJ/mol of formula units
data_ScBe2AlS
_chemical_formula_sum 'Sc1 Be2 Al1 S1'
_space_group_name_H-M_alt 'P 4/m m m'
_space_group_IT_number 123
_space_group_name_Hall '-P 4 2'
_cell_length_a 5.010
_cell_length_b 5.010
_cell_length_c 4.735
_cell_angle_alpha 90.00
_cell_angle_beta 90.00
_cell_angle_gamma 90.00
loop_
_atom_site_label
_atom_site_fract_x
_atom_site_fract_y
_atom_site_fract_z
Sc1 0.000 0.000 0.000
Be1 0.000 0.500 0.000
Al1 0.500 0.500 0.500
S1 0.000 0.000 0.500

Entry 10:
# PBE-GGA Mg2NiW, relaxed
# Formation energy ... 790 meV per atom
# Relative energy among the computed polymorphs ... 681 meV per atom
data_Mg2NiW
_chemical_formula_sum 'Mg8 Ni4 W4'
_space_group_name_H-M_alt 'I -4 2 d'
_space_group_IT_number 122
_space_group_name_Hall 'I -4 2bw'
_cell_length_a 7.200
_cell_length_b 7.200
_cell_length_c 5.163
_cell_angle_alpha 90.00
_cell_angle_beta 90.00
_cell_angle_gamma 90.00
loop_
_atom_site_label
_atom_site_fract_x
_atom_site_fract_y
_atom_site_fract_z
Mg1 0.209 0.250 0.125
Ni1 0.000 0.000 0.000
W1 0.000 0.000 0.500

Entry 11:
# PBE-GGA Tb2Pm3Pr6Sc, relaxed
# Formation energy ... 26 meV per atom
data_Tb2Pm3Pr6Sc
_chemical_formula_sum 'Tb4 Pm6 Pr12 Sc2'
_space_group_name_H-M_alt 'C 1 2/m 1'
_space_group_IT_number 12
_space_group_name_Hall '-C 2y'
_cell_length_a 6.321
_cell_length_b 10.954
_cell_length_c 11.953
_cell_angle_alpha 90.00
_cell_angle_beta 100.15
_cell_angle_gamma 90.00
loop_
_atom_site_label
_atom_site_fract_x
_atom_site_fract_y
_atom_site_fract_z
Tb1 0.000 0.167 0.000
Pm1 0.000 0.000 0.500
Pm2 0.000 0.333 0.500
Pr1 0.246 0.335 0.244
Pr2 0.249 0.500 0.755
Sc1 0.000 0.500 0.000

Entry 12:
# PBE-GGA MgCr, relaxed
# Formation energy ... 1618 meV per atom
# Relative energy among the computed polymorphs ... 1373 meV per atom
data_MgCr
_chemical_formula_sum 'Mg4 Cr4'
_space_group_name_H-M_alt 'F -4 3 m'
_space_group_IT_number 216
_space_group_name_Hall 'F -4 2 3'
_cell_length_a 6.469
_cell_length_b 6.469
_cell_length_c 6.469
_cell_angle_alpha 90.00
_cell_angle_beta 90.00
_cell_angle_gamma 90.00
loop_
_atom_site_label
_atom_site_fract_x
_atom_site_fract_y
_atom_site_fract_z
Mg1 0.000 0.000 0.000
Cr1 0.250 0.250 0.250